Here is a relaxed structure of CaTbHgPb from Alexandria via LeMat-Bulk. Energies are from PBE-GGA.

Total DFT energy (no corrections) = -3.1592 eV per atom
Magnetization = 0.00 μB/atom
DFT formation energy = -0.499 eV per atom
Crystal system = cubic
Density = 8.988 Mg/m³
Excess energy over the best structure of this formula in the dataset = 0.010 eV/atom

Unit cell a=7.654 b=7.654 c=7.654 alpha=90.00 beta=90.00 gamma=90.00
Space group F-43m (No. 216)
Asymmetric unit:
Ca 0.000 0.000 0.000 [4 per cell]
Tb 0.000 0.000 0.500 [4 per cell]
Hg 0.250 0.250 0.250 [4 per cell]
Pb 0.250 0.250 0.750 [4 per cell]